No. 1
{
  "formula": "LiSc2Tc",
  "functional": "GGA-PBE",
  "state": "relaxed",
  "lattice_angstrom": [[2.953, 0.000, 0.000], [0.000, 4.454, 0.000], [0.000, 0.000, 5.695]],
  "species": ["Sc", "Li", "Tc", "Sc"],
  "frac_coords": [[0.000, 0.000, 0.981], [0.500, 0.500, 0.752], [0.000, 0.000, 0.467], [0.500, 0.500, 0.300]],
  "e_tot_ev_per_cell": -24.286,
  "ef_ev_per_atom": 0.164,
  "magmom_total_mub_per_fu": 0.0,
  "relative_energy_mev_per_atom": 303
}

***

No. 2
{
  "formula": "LiThScTc",
  "functional": "GGA-PBE",
  "state": "relaxed",
  "lattice_angstrom": [[-1.290, -4.249, -2.003], [3.322, -2.712, -2.311], [1.526, -4.185, 1.971]],
  "species": ["Sc", "Th", "Tc", "Li"],
  "frac_coords": [[0.250, 0.250, 0.250], [0.750, 0.750, 0.750], [0.500, 0.500, 0.500], [0.000, 0.000, 0.000]],
  "e_tot_ev_per_cell": -26.516,
  "ef_ev_per_atom": -0.121,
  "magmom_total_mub_per_fu": 0.0
}

***

No. 3
{
  "formula": "LiTmScTc",
  "functional": "GGA-PBE",
  "state": "relaxed",
  "lattice_angstrom": [[4.763, 0.000, 0.000], [2.382, 4.125, 0.000], [2.382, 1.375, 3.889]],
  "species": ["Li", "Tc", "Tm", "Sc"],
  "frac_coords": [[0.000, 0.000, 0.000], [0.500, 0.500, 0.500], [0.750, 0.750, 0.750], [0.250, 0.250, 0.250]],
  "e_tot_ev_per_cell": -23.437,
  "ef_ev_per_atom": -0.088,
  "magmom_total_mub_per_fu": 0.0
}

***

No. 4
{
  "formula": "LiScVTc",
  "functional": "GGA-PBE",
  "state": "relaxed",
  "lattice_angstrom": [[4.437, 0.000, 0.000], [2.218, 3.843, 0.000], [2.218, 1.281, 3.623]],
  "species": ["V", "Tc", "Sc", "Li"],
  "frac_coords": [[0.500, 0.500, 0.500], [0.750, 0.750, 0.750], [0.000, 0.000, 0.000], [0.250, 0.250, 0.250]],
  "e_tot_ev_per_cell": -27.637,
  "ef_ev_per_atom": 0.023,
  "magmom_total_mub_per_fu": 1.1
}

***

No. 5
{
  "formula": "LiScV2Tc",
  "functional": "GGA-PBE",
  "state": "relaxed",
  "lattice_angstrom": [[-4.362, 1.169, -0.387], [-0.445, -0.155, 4.548], [1.150, 4.376, 0.261]],
  "species": ["V", "Tc", "Sc", "V", "Li"],
  "frac_coords": [[0.500, 0.000, 0.000], [0.000, 0.500, 0.000], [0.000, 0.000, 0.000], [0.000, 0.000, 0.500], [0.500, 0.500, 0.500]],
  "e_tot_ev_per_cell": -28.405,
  "ef_ev_per_atom": 1.689,
  "magmom_total_mub_per_fu": 0.4
}

***

No. 6
{
  "formula": "LiYScTc",
  "functional": "GGA-PBE",
  "state": "relaxed",
  "lattice_angstrom": [[4.807, 0.000, 0.000], [2.404, 4.163, 0.000], [2.404, 1.388, 3.925]],
  "species": ["Li", "Tc", "Y", "Sc"],
  "frac_coords": [[0.000, 0.000, 0.000], [0.500, 0.500, 0.500], [0.750, 0.750, 0.750], [0.250, 0.250, 0.250]],
  "e_tot_ev_per_cell": -25.251,
  "ef_ev_per_atom": -0.044,
  "magmom_total_mub_per_fu": 0.0
}

***

No. 7
{
  "formula": "Li2ZrScTc",
  "functional": "GGA-PBE",
  "state": "relaxed",
  "lattice_angstrom": [[-4.227, -0.558, -0.023], [0.348, -2.809, 4.147], [-0.474, 3.490, 2.404]],
  "species": ["Tc", "Sc", "Li", "Zr", "Li"],
  "frac_coords": [[0.500, 0.500, 0.500], [0.000, 0.000, 0.000], [0.000, 0.000, 0.500], [0.000, 0.500, 0.000], [0.500, 0.000, 0.000]],
  "e_tot_ev_per_cell": -22.080,
  "ef_ev_per_atom": 1.399,
  "magmom_total_mub_per_fu": 0.0
}

***

No. 8
{
  "formula": "LiScTe2",
  "functional": "GGA-PBE",
  "state": "relaxed",
  "lattice_angstrom": [[4.194, 0.000, 0.000], [0.000, 4.194, 0.000], [0.000, 0.000, 5.785]],
  "species": ["Te", "Sc", "Li", "Te"],
  "frac_coords": [[0.500, 0.500, 0.377], [0.500, 0.500, 0.880], [0.000, 0.000, 0.371], [0.000, 0.000, 0.872]],
  "e_tot_ev_per_cell": -18.824,
  "magmom_total_mub_per_fu": 0.0,
  "raw_formation_energy_ev_per_atom": -1.074
}

***

Q: Which formula does entry 5 have?
A: LiScV2Tc